[1]
Below is a geometry-optimized U2TaCrC4 structure, with properties calculated at the PBE level.

Summary:
Energy of formation from the pure elements ... -212 meV/atom
Symmetry ... No. 10
Crystal system ... monoclinic

Unit cell a=5.5053 b=3.2624 c=5.7539 alpha=90.00 beta=108.72 gamma=90.00
Fractional positions:
U1 0.0000 0.0000 0.0000
U2 0.5000 0.5000 0.0000
Ta1 0.0000 0.5000 0.5000
Cr1 0.5000 0.0000 0.5000
C1 0.2470 0.0000 0.7199
C2 0.2700 0.5000 0.2838
C3 0.7300 0.5000 0.7162
C4 0.7530 0.0000 0.2801

---

[2]
Below is a geometry-optimized BeSi3C structure, with properties calculated at the PBE level.

Summary:
E_form (uncorrected) ... 1036 meV/atom
Symmetry ... No. 221
Crystal system ... cubic
Energy relative to the lowest polymorph listed for this composition ... 0 meV per atom

Unit cell a=3.9848 b=3.9848 c=3.9848 alpha=90.00 beta=90.00 gamma=90.00
Fractional positions:
Be1 0.0000 0.0000 0.0000
Si1 0.0000 0.5000 0.5000
Si2 0.5000 0.0000 0.5000
Si3 0.5000 0.5000 0.0000
C1 0.5000 0.5000 0.5000

---

[3]
Below is a geometry-optimized NbNi3Te structure, with properties calculated at the PBE level.

Summary:
E_form (uncorrected) ... 981 meV/atom
Symmetry ... No. 221
Crystal system ... cubic
Energy relative to the lowest polymorph listed for this composition ... 0 meV per atom

Unit cell a=4.5502 b=4.5502 c=4.5502 alpha=90.00 beta=90.00 gamma=90.00
Fractional positions:
Nb1 0.0000 0.0000 0.0000
Ni1 0.0000 0.5000 0.5000
Ni2 0.5000 0.0000 0.5000
Ni3 0.5000 0.5000 0.0000
Te1 0.5000 0.5000 0.5000

---

[4]
Below is a geometry-optimized Y2SbIr structure, with properties calculated at the PBE level.

Summary:
E_form (uncorrected) ... -672 meV/atom
Symmetry ... No. 99
Crystal system ... tetragonal

Unit cell a=4.1579 b=4.1579 c=6.1758 alpha=90.00 beta=90.00 gamma=90.00
Fractional positions:
Y1 0.0000 0.0000 0.0000
Y2 0.5000 0.5000 0.3729
Sb1 0.5000 0.5000 0.8677
Ir1 0.0000 0.0000 0.4335

---

| no. | calculated density (g/cm3) |
| --- | --- |
| 1 | 12.84 |
| 2 | 2.76 |
| 3 | 6.99 |
| 4 | 7.65 |